Mg2BeMo (GGA-PBE, relaxed); SG = F-43m
1.0
-3.021 0.209 -3.285
-4.284 -0.948 0.841
-3.055 3.260 -0.021
Mg Mo Be
2 1 1
Direct
0.000 0.000 0.000
0.750 0.750 0.750
0.250 0.250 0.250
0.500 0.500 0.500

=====

MgBe4Mo (GGA-PBE, relaxed); SG = F-43m
1.0
0.000 3.197 3.197
3.197 0.000 3.197
3.197 3.197 0.000
Mg Be Mo
1 4 1
Direct
0.750 0.750 0.750
0.371 0.371 0.371
0.371 0.371 0.887
0.887 0.371 0.371
0.371 0.887 0.371
0.000 0.000 0.000

=====

Mg2Be4Mo (GGA-PBE, relaxed); SG = I4/mmm
1.0
-2.185 1.059 -3.585
-0.194 -4.179 -1.117
-6.721 -2.157 0.844
Be Mg Mo
4 2 1
Direct
0.000 0.500 0.000
0.829 0.829 0.342
0.500 0.000 0.000
0.171 0.171 0.658
0.379 0.379 0.242
0.621 0.621 0.758
0.000 0.000 0.000

=====

Mg2BeMo (GGA-PBE, relaxed); SG = I-42d
1.0
7.162 0.000 0.000
0.000 7.162 0.000
3.581 3.581 2.550
Mg Mo Be
4 2 2
Direct
0.875 0.830 0.750
0.170 0.625 0.250
0.580 0.125 0.250
0.375 0.420 0.750
0.750 0.250 0.500
0.000 0.000 0.000
0.500 0.500 0.000
0.250 0.750 0.500

=====

Mg2BeMo (GGA-PBE, relaxed); SG = C2/m
1.0
-0.200 1.782 -5.069
-3.861 -3.283 1.797
-2.083 1.716 0.156
Be Mg Mo
1 2 1
Direct
0.000 0.500 0.500
0.000 0.000 0.000
0.500 0.500 0.000
0.500 0.000 0.500

=====

MgBe17Mo (GGA-PBE, relaxed); SG = R3m
1.0
-5.304 1.139 -1.228
-2.307 -3.811 3.331
-0.992 3.371 4.312
Be Mo Mg
17 1 1
Direct
0.651 0.163 0.651
0.007 0.007 0.498
0.343 0.844 0.343
0.001 0.703 0.295
0.651 0.651 0.163
0.295 0.001 0.703
0.295 0.703 0.001
0.844 0.343 0.343
0.498 0.007 0.007
0.904 0.904 0.904
0.703 0.001 0.295
0.102 0.102 0.102
0.001 0.295 0.703
0.007 0.498 0.007
0.343 0.343 0.844
0.163 0.651 0.651
0.703 0.295 0.001
0.334 0.334 0.334
0.655 0.655 0.655

=====

Mg2BeMo (GGA-PBE, relaxed); SG = P4mm
1.0
-0.671 -1.609 -2.157
0.354 -2.257 1.573
-8.126 0.319 2.288
Be Mo Mg
1 1 2
Direct
0.500 0.500 0.734
0.000 0.000 0.538
0.000 0.000 0.957
0.500 0.500 0.272

=====

MgBeMo (GGA-PBE, relaxed); energy above the most stable polymorph in this dataset = 0.148 eV per atom; SG = P3m1
1.0
2.800 0.000 0.000
-1.400 2.425 0.000
0.000 0.000 6.699
Mo Be Mg
1 1 1
Direct
0.667 0.333 0.692
0.000 0.000 0.987
0.333 0.667 0.321

=====

no.,final energy (eV per formula unit),M_tot (μB/f.u.)
1,-15.7,1.5
2,-26.8,0.0
3,-23.2,0.0
4,-14.8,0.0
5,-16.2,0.0
6,-77.2,0.0
7,-16.7,0.0
8,-14.8,0.0